(1)
# AcTaCd

An optimized crystal structure of AcTaCd (GGA-PBE, the Open Quantum Materials Database).

abc: 5.204 5.204 5.204
angles: 60.00 60.00 60.00
Sites, in units of the cell vectors:
Cd 0.250 0.250 0.250
Ac 0.000 0.000 0.000
Ta 0.750 0.750 0.750

## Properties
DFT formation energy ... 1.467 eV/atom
M_tot ... 2.2 μB per cell

***

(2)
# AcCdTe

An optimized crystal structure of AcCdTe (GGA-PBE, the Open Quantum Materials Database).

abc: 5.448 5.448 5.448
angles: 60.00 60.00 60.00
Sites, in units of the cell vectors:
Te 0.250 0.250 0.250
Cd 0.000 0.000 0.000
Ac 0.500 0.500 0.500

## Properties
Polymorph energy (0 for the lowest one) ... 0.048 eV per formula unit
M_tot ... 0.0 μB per cell

***

(3)
# AcCdTe

An optimized crystal structure of AcCdTe (GGA-PBE, the Open Quantum Materials Database).

abc: 5.475 5.475 5.475
angles: 60.00 60.00 60.00
Sites, in units of the cell vectors:
Te 0.750 0.750 0.750
Cd 0.250 0.250 0.250
Ac 0.000 0.000 0.000

## Properties
Polymorph energy (0 for the lowest one) ... 0.000 eV per formula unit
M_tot ... 0.0 μB per cell

***

(4)
# AcUCd

An optimized crystal structure of AcUCd (GGA-PBE, the Open Quantum Materials Database).

abc: 5.211 5.211 5.211
angles: 60.00 60.00 60.00
Sites, in units of the cell vectors:
U 0.000 0.000 0.000
Cd 0.750 0.750 0.750
Ac 0.250 0.250 0.250

## Properties
DFT formation energy ... 0.991 eV/atom
M_tot ... 3.2 μB per cell

***

(5)
# AcYCd

An optimized crystal structure of AcYCd (GGA-PBE, the Open Quantum Materials Database).

abc: 5.374 5.374 5.374
angles: 60.00 60.00 60.00
Sites, in units of the cell vectors:
Ac 0.000 0.000 0.000
Cd 0.250 0.250 0.250
Y 0.750 0.750 0.750

## Properties
DFT formation energy ... 0.578 eV/atom
M_tot ... 0.0 μB per cell

***

(6)
# AcZn2Cd2

An optimized crystal structure of AcZn2Cd2 (GGA-PBE, the Open Quantum Materials Database).

abc: 6.598 6.598 6.598
angles: 139.78 139.78 58.18
Sites, in units of the cell vectors:
Ac 0.000 0.000 0.000
Zn 0.391 0.391 0.000
Cd 0.750 0.250 0.500
Zn 0.609 0.609 0.000
Cd 0.250 0.750 0.500

## Properties
DFT formation energy ... -0.297 eV/atom
M_tot ... 0.0 μB per cell

***

(7)
# Ac3DyCl

An optimized crystal structure of Ac3DyCl (GGA-PBE, the Open Quantum Materials Database).

abc: 5.799 5.799 5.799
angles: 90.00 90.00 90.00
Sites, in units of the cell vectors:
Ac 0.000 0.500 0.000
Ac 0.500 0.000 0.000
Ac 0.000 0.000 0.500
Dy 0.500 0.500 0.500
Cl 0.000 0.000 0.000

## Properties
DFT total energy ... -21.04 eV/cell
M_tot ... 0.0 μB per cell

***

(8)
# AcPt3Cl

An optimized crystal structure of AcPt3Cl (GGA-PBE, the Open Quantum Materials Database).

abc: 6.639 6.639 5.877
angles: 90.00 90.00 120.00
Sites, in units of the cell vectors:
Pt 0.654 0.000 0.873
Pt 0.000 0.654 0.873
Ac 0.333 0.667 0.500
Pt 0.654 0.654 0.127
Pt 0.000 0.346 0.127
Pt 0.346 0.000 0.127
Cl 0.000 0.000 0.270
Ac 0.667 0.333 0.500
Pt 0.346 0.346 0.873
Cl 0.000 0.000 0.730

## Properties
DFT total energy ... -51.28 eV/cell
M_tot ... 0.0 μB per cell